1.
The following is a PBE calculation of a geometry-optimized BaSrSm structure, from Alexandria via LeMat-Bulk.

abc: 4.0252 4.0252 17.5601
angles: 90.00 90.00 90.00
Last column: nearest neighbours and their distance in Å.
Space group I4mm (No. 107)
Inequivalent atoms, fractional coordinates:
Ba 0.0000 0.0000 0.0000 (multiplicity 2)  4 Sm 3.97, 4 Ba 4.03, 4 Sr 4.38
Sr 0.0000 0.0000 0.3103 (multiplicity 2)  4 Sm 3.91, 4 Sr 4.03
Sm 0.0000 0.0000 0.6578 (multiplicity 2)  4 Sr 3.91, 4 Ba 3.97, 4 Sm 4.03

Properties
ρ	4.38	Mg/m³
Fermi-level density of states	11.770	states/eV per cell
DFT formation energy	0.18	eV/atom
distance to the lowest polymorph of the same formula	89	meV per atom

2.
The following is a PBE calculation of a geometry-optimized BaSr2Sm structure, from Alexandria via LeMat-Bulk.

abc: 6.5346 6.5346 4.5314
angles: 90.00 90.00 90.00
Last column: nearest neighbours and their distance in Å.
Space group P4/mmm (No. 123)
Inequivalent atoms, fractional coordinates:
Ba 0.0000 0.0000 0.0000 (multiplicity 1)  8 Sr 3.98
Sr 0.0000 0.5000 0.5000 (multiplicity 2)  4 Ba 3.98, 4 Sm 3.98
Sm 0.5000 0.5000 0.0000 (multiplicity 1)  8 Sr 3.98

Properties
ρ	3.97	Mg/m³
Fermi-level density of states	5.440	states/eV per cell
DFT formation energy	0.19	eV/atom
distance to the lowest polymorph of the same formula	49	meV per atom

3.
The following is a PBE calculation of a geometry-optimized BaSr2Sm structure, from Alexandria via LeMat-Bulk.

abc: 9.1958 9.1958 9.1958
angles: 90.00 90.00 90.00
Last column: nearest neighbours and their distance in Å.
Space group Fm-3m (No. 225)
Inequivalent atoms, fractional coordinates:
Ba 0.0000 0.0000 0.0000 (multiplicity 4)  8 Sr 3.98
Sr 0.2500 0.2500 0.2500 (multiplicity 8)  4 Ba 3.98, 4 Sm 3.98
Sm 0.0000 0.0000 0.5000 (multiplicity 4)  8 Sr 3.98

Properties
ρ	3.95	Mg/m³
Fermi-level density of states	22.621	states/eV per cell
DFT formation energy	0.18	eV/atom
distance to the lowest polymorph of the same formula	45	meV per atom

4.
The following is a PBE calculation of a geometry-optimized Ba5Sr12Sm3 structure, from Alexandria via LeMat-Bulk.

abc: 22.1592 22.1592 22.1592
angles: 90.00 90.00 90.00
Last column: nearest neighbours and their distance in Å.
Space group Ia-3d (No. 230)
Inequivalent atoms, fractional coordinates:
Ba 0.0000 0.0000 0.0000 (multiplicity 16)  6 Sr 3.79
Ba 0.0000 0.2500 0.3750 (multiplicity 24)  4 Sr 4.00
Sr 0.0032 0.0857 0.6481 (multiplicity 96)  2 Sm 3.68-4.10, 1 Sr 3.72, 2 Ba 3.79-4.00
Sm 0.0000 0.2500 0.1250 (multiplicity 24)  8 Sr 3.68-4.10

Properties
ρ	2.67	Mg/m³
Fermi-level density of states	298.438	states/eV per cell
DFT formation energy	0.71	eV/atom

5.
The following is a PBE calculation of a geometry-optimized BaSr2Sm structure, from Alexandria via LeMat-Bulk.

abc: 4.0737 4.0737 40.5985
angles: 90.00 90.00 120.00
Last column: nearest neighbours and their distance in Å.
Space group R3m (No. 160, hexagonal axes)
Inequivalent atoms, fractional coordinates:
Ba 0.0000 0.0000 0.0000 (multiplicity 3)  6 Ba 4.07, 6 Sr 4.32-4.33
Sr 0.0000 0.0000 0.5770 (multiplicity 3)  3 Sm 3.92, 6 Sr 4.07, 3 Ba 4.33
Sr 0.0000 0.0000 0.7559 (multiplicity 3)  3 Sm 3.92, 6 Sr 4.07, 3 Ba 4.32
Sm 0.0000 0.0000 0.1664 (multiplicity 3)  6 Sr 3.92, 6 Sm 4.07

Properties
ρ	3.95	Mg/m³
Fermi-level density of states	22.137	states/eV per cell
DFT formation energy	0.15	eV/atom
distance to the lowest polymorph of the same formula	14	meV per atom

6.
The following is a PBE calculation of a geometry-optimized BaSr2Sm structure, from Alexandria via LeMat-Bulk.

abc: 3.9589 3.9589 43.3643
angles: 90.00 90.00 120.00
Last column: nearest neighbours and their distance in Å.
Space group R-3m (No. 166, hexagonal axes)
Inequivalent atoms, fractional coordinates:
Ba 0.0000 0.0000 0.0000 (multiplicity 3)  6 Ba 3.96, 6 Sr 4.28
Sr 0.0000 0.0000 0.4168 (multiplicity 6)  1 Sm 3.61, 6 Sr 3.96
Sm 0.0000 0.0000 0.5000 (multiplicity 3)  2 Sr 3.61, 6 Sm 3.96

Properties
ρ	3.92	Mg/m³
Fermi-level density of states	18.227	states/eV per cell
DFT formation energy	0.32	eV/atom
distance to the lowest polymorph of the same formula	182	meV per atom